RbWBr6, relaxed, DFT PBE; total moment = 1.00 μB/f.u.; space group = No. 12; final energy = -3.77 eV per atom; uncorrected formation energy = -0.776 eV/atom; volume = 36.24 Å³/atom
1.0
-6.083 2.411 1.693
0.636 -5.113 4.375
1.369 3.298 5.826
Br Rb W
6 1 1
direct
0.728 0.068 0.271
0.932 0.272 0.729
0.727 0.727 0.939
0.273 0.273 0.061
0.272 0.932 0.729
0.068 0.728 0.271
0.500 0.500 0.500
0.000 0.000 0.000